(1)
U2VCo9 | PBE | relaxed

a = 3.7030 Å, b = 3.7030 Å, c = 10.8975 Å
α = 90.00°, β = 90.00°, γ = 90.00°
Closest atoms and distances in Å follow each position.
Space group P4/mmm (No. 123)
Unique sites:
U1 0.0000 0.0000 0.1741 (multiplicity 2)  12 Co 2.62-2.65
V1 0.0000 0.0000 0.5000 (multiplicity 1)  12 Co 2.49-2.62
Co1 0.0000 0.5000 0.0000 (multiplicity 2)  8 Co 2.62-2.65, 4 U 2.65
Co2 0.0000 0.5000 0.3467 (multiplicity 4)  8 Co 2.49-2.64, 2 V 2.49, 2 U 2.64
Co3 0.5000 0.5000 0.1738 (multiplicity 2)  4 U 2.62, 8 Co 2.64-2.65
Co4 0.5000 0.5000 0.5000 (multiplicity 1)  8 Co 2.49, 4 V 2.62

* calculated volume: 12.5 Å³ per atom
* formation energy from the elements: -213 meV per atom

(2)
UVCo4 | PBE | relaxed

a = 6.7570 Å, b = 6.7570 Å, c = 6.7570 Å
α = 90.00°, β = 90.00°, γ = 90.00°
Closest atoms and distances in Å follow each position.
Space group F-43m (No. 216)
Unique sites:
U1 0.0000 0.0000 0.0000 (multiplicity 4)  12 Co 2.80, 4 V 2.93
V1 0.2500 0.2500 0.2500 (multiplicity 4)  12 Co 2.80, 4 U 2.93
Co1 0.1239 0.1239 0.6239 (multiplicity 16)  6 Co 2.37-2.41

* calculated volume: 12.9 Å³ per atom
* formation energy from the elements: -64 meV per atom

(3)
U2Co9W | PBE | relaxed

a = 3.7032 Å, b = 3.7032 Å, c = 11.0604 Å
α = 90.00°, β = 90.00°, γ = 90.00°
Closest atoms and distances in Å follow each position.
Space group P4/mmm (No. 123)
Unique sites:
U1 0.0000 0.0000 0.1708 (multiplicity 2)  12 Co 2.62-2.65
Co1 0.0000 0.5000 0.0000 (multiplicity 2)  8 Co 2.62-2.65, 4 U 2.65
Co2 0.0000 0.5000 0.3422 (multiplicity 4)  8 Co 2.54-2.64, 2 W 2.54, 2 U 2.65
Co3 0.5000 0.5000 0.1718 (multiplicity 2)  4 U 2.62, 8 Co 2.64-2.65
Co4 0.5000 0.5000 0.5000 (multiplicity 1)  8 Co 2.54, 4 W 2.62
W1 0.0000 0.0000 0.5000 (multiplicity 1)  12 Co 2.54-2.62

* calculated volume: 12.6 Å³ per atom
* formation energy from the elements: -177 meV per atom

(4)
UCoW | PBE | relaxed

a = 2.7716 Å, b = 2.7716 Å, c = 12.4898 Å
α = 90.00°, β = 90.00°, γ = 90.00°
Closest atoms and distances in Å follow each position.
Space group I4mm (No. 107)
Unique sites:
U1 0.0000 0.0000 0.0000 (multiplicity 2)  4 U 2.77, 4 Co 2.85
Co1 0.0000 0.0000 0.6653 (multiplicity 2)  4 W 2.59, 4 Co 2.77, 4 U 2.85
W1 0.0000 0.0000 0.3003 (multiplicity 2)  4 Co 2.59, 4 W 2.77

* calculated volume: 16.0 Å³ per atom
* ΔE to the lowest computed polymorph: 0.0000 eV/atom
* formation energy from the elements: 179 meV per atom

(5)
UCoW | PBE | relaxed

a = 2.7148 Å, b = 2.7148 Å, c = 12.7708 Å
α = 90.00°, β = 90.00°, γ = 90.00°
Closest atoms and distances in Å follow each position.
Space group P4/nmm (No. 129, origin choice 2)
Unique sites:
U1 0.2500 0.2500 0.1024 (multiplicity 2)  4 U 2.71
Co1 0.2500 0.2500 0.4388 (multiplicity 2)  8 Co 2.48-2.71, 4 W 2.61
W1 0.2500 0.2500 0.6991 (multiplicity 2)  4 Co 2.61, 4 W 2.71

* calculated volume: 15.7 Å³ per atom
* ΔE to the lowest computed polymorph: 0.0272 eV/atom
* formation energy from the elements: 206 meV per atom

(6)
YUCo2 | PBE | relaxed

a = 3.2768 Å, b = 3.2768 Å, c = 6.7776 Å
α = 90.00°, β = 90.00°, γ = 90.00°
Closest atoms and distances in Å follow each position.
Space group P4/mmm (No. 123)
Unique sites:
Y1 0.0000 0.0000 0.0000 (multiplicity 1)  8 Co 3.11, 4 Y 3.28, 2 U 3.39
U1 0.0000 0.0000 0.5000 (multiplicity 1)  8 Co 2.67
Co1 0.5000 0.5000 0.3057 (multiplicity 2)  1 Co 2.63, 4 U 2.67

* calculated volume: 18.2 Å³ per atom
* formation energy from the elements: -119 meV per atom

(7)
YUCo4 | PBE | relaxed

a = 9.6269 Å, b = 6.0578 Å, c = 6.8542 Å
α = 90.00°, β = 111.97°, γ = 90.00°
Closest atoms and distances in Å follow each position.
Space group C2/m (No. 12)
Unique sites:
Y1 0.1977 0.0000 0.3046 (multiplicity 4)  7 Co 2.77-3.03
U1 0.0284 0.5000 0.2547 (multiplicity 4)  3 Co 2.21-2.25
Co1 0.0000 0.2013 0.5000 (multiplicity 4)  5 Co 2.44-2.67, 2 U 2.55
Co2 0.1047 0.2160 0.9202 (multiplicity 8)  1 U 2.21, 1 Co 2.42
Co3 0.2390 0.0000 0.7512 (multiplicity 4)  1 U 2.25, 2 Co 2.42

* calculated volume: 15.4 Å³ per atom
* ΔE to the lowest computed polymorph: 0.0129 eV/atom
* formation energy from the elements: -106 meV per atom

(8)
YUCo | PBE | relaxed

a = 11.0296 Å, b = 3.4668 Å, c = 8.0775 Å
α = 90.00°, β = 125.74°, γ = 90.00°
Closest atoms and distances in Å follow each position.
Space group C2/m (No. 12)
Unique sites:
Y1 0.0809 0.0000 0.3784 (multiplicity 4)  4 Co 2.96-2.99
U1 0.1352 0.5000 0.0585 (multiplicity 4)  2 Co 2.46, 1 U 2.55
Co1 0.1751 0.5000 0.7373 (multiplicity 4)  2 U 2.46

* calculated volume: 20.9 Å³ per atom
* formation energy from the elements: -73 meV per atom

(9)
YUCo10 | PBE | relaxed

a = 4.0050 Å, b = 4.8637 Å, c = 8.3649 Å
α = 90.00°, β = 90.00°, γ = 90.00°
Closest atoms and distances in Å follow each position.
Space group Pmmm (No. 47)
Unique sites:
Y1 0.0000 0.0000 0.0000 (multiplicity 1)  18 Co 2.88-3.15
U1 0.0000 0.5000 0.5000 (multiplicity 1)  6 Co 2.57-2.76
Co1 0.0000 0.0000 0.3448 (multiplicity 2)  7 Co 2.39-2.60
Co2 0.0000 0.5000 0.1922 (multiplicity 2)  6 Co 2.40-2.57, 1 U 2.57
Co3 0.5000 0.0000 0.5000 (multiplicity 1)  8 Co 2.39-2.42
Co4 0.5000 0.2460 0.2490 (multiplicity 4)  8 Co 2.39-2.47
Co5 0.5000 0.5000 0.0000 (multiplicity 1)  8 Co 2.42-2.57

* calculated volume: 13.6 Å³ per atom
* formation energy from the elements: -108 meV per atom

(10)
YUCo4 | PBE | relaxed

a = 7.0522 Å, b = 7.0522 Å, c = 7.0522 Å
α = 90.00°, β = 90.00°, γ = 90.00°
Closest atoms and distances in Å follow each position.
Space group F-43m (No. 216)
Unique sites:
Y1 0.0000 0.0000 0.0000 (multiplicity 4)  12 Co 2.92, 4 U 3.05
U1 0.2500 0.2500 0.2500 (multiplicity 4)  12 Co 2.92, 4 Y 3.05
Co1 0.1246 0.1246 0.6246 (multiplicity 16)  6 Co 2.49-2.50

* calculated volume: 14.6 Å³ per atom
* ΔE to the lowest computed polymorph: 0.0000 eV/atom
* formation energy from the elements: -119 meV per atom

(11)
YUCo3 | PBE | relaxed

a = 5.2702 Å, b = 8.4566 Å, c = 7.8425 Å
α = 90.00°, β = 90.00°, γ = 90.00°
Closest atoms and distances in Å follow each position.
Space group Imma (No. 74)
Unique sites:
Y1 0.0000 0.2500 0.0633 (multiplicity 4)  7 Co 3.00-3.21
U1 0.0000 0.0000 0.5000 (multiplicity 4)  6 Co 2.37-2.50
Co1 0.0000 0.2500 0.6696 (multiplicity 4)  4 Co 2.45, 2 U 2.50
Co2 0.2500 0.0180 0.7500 (multiplicity 8)  2 U 2.37, 4 Co 2.45-2.64

* calculated volume: 17.5 Å³ per atom
* ΔE to the lowest computed polymorph: 0.0817 eV/atom
* formation energy from the elements: -132 meV per atom

(12)
Y5UCo4 | PBE | relaxed

a = 16.8887 Å, b = 4.1203 Å, c = 7.0312 Å
α = 90.00°, β = 111.79°, γ = 90.00°
Closest atoms and distances in Å follow each position.
Space group C2/m (No. 12)
Unique sites:
Y1 0.0000 0.0000 0.0000 (multiplicity 2)  6 Co 3.00-3.16
Y2 0.1629 0.5000 0.5451 (multiplicity 4)  4 Co 2.80-3.07
Y3 0.1777 0.5000 0.0580 (multiplicity 4)  4 Co 2.75-2.99
U1 0.0000 0.0000 0.5000 (multiplicity 2)  6 Co 2.36-2.47
Co1 0.0167 0.5000 0.7061 (multiplicity 4)  2 U 2.47, 3 Co 2.74-2.75
Co2 0.1319 0.0000 0.7782 (multiplicity 4)  1 U 2.36

* calculated volume: 22.7 Å³ per atom
* formation energy from the elements: -205 meV per atom

- Which of these has the lowest formation energy from the elements?
  U2VCo9

- Which formula does entry 5 have?
  UCoW

What did the fourth record say?
UCoW | PBE | relaxed

a = 2.7716 Å, b = 2.7716 Å, c = 12.4898 Å
α = 90.00°, β = 90.00°, γ = 90.00°
Closest atoms and distances in Å follow each position.
Space group I4mm (No. 107)
Unique sites:
U1 0.0000 0.0000 0.0000 (multiplicity 2)  4 U 2.77, 4 Co 2.85
Co1 0.0000 0.0000 0.6653 (multiplicity 2)  4 W 2.59, 4 Co 2.77, 4 U 2.85
W1 0.0000 0.0000 0.3003 (multiplicity 2)  4 Co 2.59, 4 W 2.77

* calculated volume: 16.0 Å³ per atom
* ΔE to the lowest computed polymorph: 0.0000 eV/atom
* formation energy from the elements: 179 meV per atom

Copy entry 2 word for word.
UVCo4 | PBE | relaxed

a = 6.7570 Å, b = 6.7570 Å, c = 6.7570 Å
α = 90.00°, β = 90.00°, γ = 90.00°
Closest atoms and distances in Å follow each position.
Space group F-43m (No. 216)
Unique sites:
U1 0.0000 0.0000 0.0000 (multiplicity 4)  12 Co 2.80, 4 V 2.93
V1 0.2500 0.2500 0.2500 (multiplicity 4)  12 Co 2.80, 4 U 2.93
Co1 0.1239 0.1239 0.6239 (multiplicity 16)  6 Co 2.37-2.41

* calculated volume: 12.9 Å³ per atom
* formation energy from the elements: -64 meV per atom